1.
{"formula": "Ta2HgRu", "functional": "PBE-GGA", "state": "relaxed", "lattice_angstrom": [[5.195, 0.026, 0.000], [2.075, 4.762, 0.000], [-3.635, -2.394, 2.836]], "species": ["Ru", "Ta", "Ta", "Hg"], "frac_coords": [[0.750, 0.250, 0.500], [0.250, 0.750, 0.500], [0.000, 0.000, 0.000], [0.500, 0.500, 0.000]], "formation_energy_ev_per_atom": 0.25, "rho_g_cm3": 15.74, "spacegroup": "I-4m2", "magnetic_moment_mub_per_fu": 0.00, "e_tot_ev_per_cell": -32.3}

2.
{"formula": "CaMn3Cd", "functional": "PBE-GGA", "state": "relaxed", "lattice_angstrom": [[-1.333, 4.812, 0.899], [-3.819, -0.439, -3.312], [-3.063, -1.547, 3.737]], "species": ["Mn", "Mn", "Mn", "Ca", "Cd"], "frac_coords": [[0.000, 0.500, 0.000], [0.500, 0.000, 0.000], [0.000, 0.000, 0.500], [0.500, 0.500, 0.500], [0.000, 0.000, 0.000]], "formation_energy_ev_per_atom": 0.94, "rho_g_cm3": 4.03, "relative_energy_mev_per_atom": 0.0, "spacegroup": "Pm-3m", "magnetic_moment_mub_per_fu": 12.41, "e_tot_ev_per_cell": -25.7}

3.
{"formula": "KZnTe2", "functional": "PBE-GGA", "state": "relaxed", "lattice_angstrom": [[3.247, 0.019, 0.000], [-0.016, 3.247, 0.000], [0.000, 0.000, 11.793]], "species": ["Te", "Te", "K", "Zn"], "frac_coords": [[0.000, 0.000, 0.982], [0.000, 0.000, 0.518], [0.500, 0.500, 0.750], [0.500, 0.500, 0.250]], "rho_g_cm3": 4.80, "spacegroup": "P4/mmm", "raw_formation_energy_mev_per_atom": -100, "magnetic_moment_mub_per_fu": 0.00, "e_tot_ev_per_cell": -9.1}

4.
{"formula": "Y2Ho3Te8", "functional": "PBE-GGA", "state": "relaxed", "lattice_angstrom": [[-5.580, 0.231, 4.979], [3.840, -6.282, 4.594], [3.497, 8.060, -0.098]], "species": ["Te", "Te", "Te", "Te", "Te", "Te", "Te", "Te", "Y", "Y", "Ho", "Ho", "Ho"], "frac_coords": [[0.588, 0.630, 0.757], [0.412, 0.873, 0.243], [0.901, 0.618, 0.235], [0.588, 0.127, 0.757], [0.914, 0.121, 0.241], [0.086, 0.879, 0.759], [0.412, 0.370, 0.243], [0.099, 0.382, 0.765], [0.669, 0.749, 0.499], [0.331, 0.251, 0.501], [0.000, 0.743, 0.000], [0.500, 0.000, 0.000], [0.000, 0.257, 0.000]], "rho_g_cm3": 5.98, "spacegroup": "C2/m", "raw_formation_energy_mev_per_atom": -1258, "magnetic_moment_mub_per_fu": 0.00, "e_tot_ev_per_cell": -68.1}

5.
{"formula": "Nd5HoEr5", "functional": "PBE-GGA", "state": "relaxed", "lattice_angstrom": [[-1.216, 5.787, 0.806], [-4.284, -2.793, -8.503], [-4.091, -1.625, 5.495]], "species": ["Er", "Er", "Er", "Er", "Er", "Nd", "Nd", "Nd", "Nd", "Nd", "Ho"], "frac_coords": [[0.331, 0.663, 0.830], [0.378, 0.757, 0.377], [0.669, 0.337, 0.170], [0.000, 0.000, 0.500], [0.622, 0.243, 0.623], [0.500, 0.000, 0.000], [0.176, 0.352, 0.421], [0.176, 0.352, 0.932], [0.824, 0.648, 0.068], [0.824, 0.648, 0.579], [0.000, 0.000, 0.000]], "formation_energy_ev_per_atom": 0.26, "rho_g_cm3": 7.74, "spacegroup": "C2/m", "magnetic_moment_mub_per_fu": 0.52, "e_tot_ev_per_cell": -48.3}

6.
{"formula": "Y3AgGe", "functional": "PBE-GGA", "state": "relaxed", "lattice_angstrom": [[-2.066, 1.005, -4.919], [2.633, -4.312, -1.986], [-4.274, -3.141, 1.154]], "species": ["Ag", "Y", "Y", "Y", "Ge"], "frac_coords": [[0.500, 0.500, 0.500], [0.000, 0.500, 0.000], [0.000, 0.000, 0.500], [0.500, 0.000, 0.000], [0.000, 0.000, 0.000]], "formation_energy_ev_per_atom": -0.02, "rho_g_cm3": 4.64, "relative_energy_mev_per_atom": 0.0, "spacegroup": "Pm-3m", "magnetic_moment_mub_per_fu": 2.29, "e_tot_ev_per_cell": -27.0}

7.
{"formula": "CaBePt", "functional": "PBE-GGA", "state": "relaxed", "lattice_angstrom": [[4.563, 0.000, 0.000], [2.282, 3.952, 0.000], [2.282, 1.317, 3.726]], "species": ["Be", "Pt", "Ca"], "frac_coords": [[0.500, 0.500, 0.500], [0.000, 0.000, 0.000], [0.750, 0.750, 0.750]], "formation_energy_ev_per_atom": 0.46, "rho_g_cm3": 6.03, "relative_energy_mev_per_atom": 1148.2, "spacegroup": "F-43m", "magnetic_moment_mub_per_fu": 0.00, "e_tot_ev_per_cell": -10.4}

8.
{"formula": "HfTe4Ir2", "functional": "PBE-GGA", "state": "relaxed", "lattice_angstrom": [[-3.697, -2.074, -3.605], [0.271, -4.934, 2.561], [-6.562, -1.721, 3.425]], "species": ["Te", "Te", "Te", "Te", "Ir", "Ir", "Hf"], "frac_coords": [[0.784, 0.784, 0.432], [0.216, 0.216, 0.568], [0.000, 0.500, 0.000], [0.500, 0.000, 0.000], [0.407, 0.407, 0.185], [0.593, 0.593, 0.815], [0.000, 0.000, 0.000]], "rho_g_cm3": 8.85, "spacegroup": "I4/mmm", "raw_formation_energy_mev_per_atom": 363, "magnetic_moment_mub_per_fu": 0.00, "e_tot_ev_per_cell": -37.7}

9.
{"formula": "LiPd2Pb2", "functional": "PBE-GGA", "state": "relaxed", "lattice_angstrom": [[4.036, 0.000, 0.000], [0.000, 4.036, 0.000], [2.018, 2.018, 7.022]], "species": ["Pb", "Pb", "Pd", "Pd", "Li"], "frac_coords": [[0.613, 0.613, 0.774], [0.387, 0.387, 0.226], [0.750, 0.250, 0.500], [0.250, 0.750, 0.500], [0.000, 0.000, 0.000]], "formation_energy_ev_per_atom": -0.16, "rho_g_cm3": 9.21, "relative_energy_mev_per_atom": 159.4, "spacegroup": "I4/mmm", "magnetic_moment_mub_per_fu": 0.00, "e_tot_ev_per_cell": -20.5}

10.
{"formula": "KReWI2", "functional": "PBE-GGA", "state": "relaxed", "lattice_angstrom": [[-1.598, -0.960, 5.255], [3.593, -3.278, 0.494], [3.426, 4.024, 1.777]], "species": ["I", "I", "Re", "W", "K"], "frac_coords": [[0.000, 0.000, 0.500], [0.500, 0.000, 0.000], [0.000, 0.500, 0.000], [0.500, 0.500, 0.500], [0.000, 0.000, 0.000]], "rho_g_cm3": 7.24, "spacegroup": "P4/mmm", "raw_formation_energy_mev_per_atom": 3340, "magnetic_moment_mub_per_fu": 0.00, "e_tot_ev_per_cell": -12.9}

11.
{"formula": "Pa2TiSiN5", "functional": "PBE-GGA", "state": "relaxed", "lattice_angstrom": [[-0.458, -0.525, -3.085], [3.352, -5.772, 2.107], [-8.653, -4.289, 2.014]], "species": ["N", "N", "N", "N", "N", "N", "N", "N", "N", "N", "Pa", "Pa", "Pa", "Pa", "Ti", "Ti", "Si", "Si"], "frac_coords": [[0.644, 0.287, 0.507], [0.039, 0.078, 0.030], [0.492, 0.985, 0.787], [0.356, 0.713, 0.007], [0.674, 0.349, 0.878], [0.508, 0.015, 0.287], [0.326, 0.651, 0.378], [0.293, 0.585, 0.663], [0.707, 0.415, 0.163], [0.961, 0.922, 0.530], [0.858, 0.717, 0.814], [0.117, 0.234, 0.682], [0.142, 0.283, 0.314], [0.883, 0.766, 0.182], [0.791, 0.582, 0.518], [0.209, 0.418, 0.018], [0.451, 0.901, 0.446], [0.549, 0.099, 0.946]], "rho_g_cm3": 9.49, "spacegroup": "Cmc2_1", "raw_formation_energy_mev_per_atom": -1359, "magnetic_moment_mub_per_fu": 0.00, "e_tot_ev_per_cell": -172.3}

12.
{"formula": "K2CdCuP", "functional": "PBE-GGA", "state": "relaxed", "lattice_angstrom": [[6.392, 0.000, 0.000], [0.000, 6.392, 0.000], [0.000, 0.000, 4.297]], "species": ["K", "K", "Cd", "P", "Cu"], "frac_coords": [[0.500, 0.000, 0.000], [0.000, 0.500, 0.000], [0.500, 0.500, 0.500], [0.000, 0.000, 0.000], [0.000, 0.000, 0.500]], "formation_energy_ev_per_atom": -0.08, "rho_g_cm3": 2.70, "relative_energy_mev_per_atom": 0.0, "spacegroup": "P4/mmm", "magnetic_moment_mub_per_fu": 0.00, "e_tot_ev_per_cell": -13.0}